## i
Below is an optimized crystal structure of TmThP, with properties calculated at the PBE level.

Cell lengths 3.860, 3.860, 6.530 Å; angles 90.00, 90.00, 120.00 degrees
Sites, in units of the cell vectors:
P (0.667, 0.333, 0.345)
Tm (0.333, 0.667, 0.584)
Th (0.000, 0.000, 0.072)

Summary:
Symmetry ... P3m1 (156)
Total moment ... 0.1 μB per formula unit

## ii
Below is an optimized crystal structure of TmThP, with properties calculated at the PBE level.

Cell lengths 5.106, 3.612, 10.878 Å; angles 90.00, 90.00, 134.98 degrees
Sites, in units of the cell vectors:
P (0.194, 0.389, 0.169)
Tm (0.695, 0.389, 0.708)
P (0.194, 0.389, 0.831)
Th (0.195, 0.389, 0.500)
Th (0.694, 0.388, 0.000)
Tm (0.695, 0.389, 0.292)

Summary:
Symmetry ... P4/mmm (123)
Total moment ... 0.0 μB per formula unit

Which structure is the least stable? The one labeled ii.